A relaxed Nb3PtRh5 crystal. Source: the Alexandria database, functional PBE.

Summary:
The value obtained for the formation energy is 93 meV per atom. Its total energy is -72.17 eV/f.u. The density of states at the Fermi level comes out at 30.32 states/eV/cell.

Unit cell a=7.428 b=7.428 c=11.039 alpha=90.00 beta=90.00 gamma=90.00
Space group I4/mcm (No. 140)
Inequivalent atoms, fractional coordinates:
Nb1 0.000 0.000 0.250
Nb2 0.119 0.381 0.000
Pt1 0.000 0.500 0.250
Rh1 0.000 0.000 0.000
Rh2 0.208 0.292 0.366

***

A relaxed Ca3CuSn2 crystal. Source: the Alexandria database, functional PBE.

Summary:
The value obtained for the formation energy is -524 meV per atom. Its total energy is -21.25 eV/f.u. The density of states at the Fermi level comes out at 14.15 states/eV/cell.

Unit cell a=12.508 b=4.617 c=11.724 alpha=90.00 beta=90.00 gamma=90.00
Space group Pnma (No. 62)
Inequivalent atoms, fractional coordinates:
Ca1 0.050 0.250 0.123
Ca2 0.124 0.750 0.566
Ca3 0.218 0.250 0.806
Cu1 0.121 0.250 0.381
Sn1 0.022 0.750 0.316
Sn2 0.196 0.750 0.005

***

A relaxed Sm2Zn3CdCu12 crystal. Source: the Alexandria database, functional PBE.

Summary:
The value obtained for the formation energy is 88 meV per atom. Its total energy is -61.75 eV/f.u. The density of states at the Fermi level comes out at 27.02 states/eV/cell.

Unit cell a=8.9358 b=8.9358 c=12.3597 alpha=90.00 beta=90.00 gamma=120.00
Space group R-3m (No. 166, hexagonal axes)
Inequivalent atoms, fractional coordinates:
Sm1 0.0000 0.0000 0.2062
Zn1 0.0000 0.5000 0.0000
Cd1 0.0000 0.0000 0.5000
Cu1 0.0081 0.5041 0.2061
Cu2 0.0357 0.5179 0.6015

***

A relaxed Li2PrGeS4 crystal. Source: the Alexandria database, functional PBE.

Summary:
The calculation puts the uncorrected formation energy at -1.13 eV/atom. Its total energy is -38.81 eV/f.u. The density of states at the Fermi level comes out at 6.76 states/eV/cell.

Unit cell a=7.472 b=7.970 c=10.888 alpha=90.00 beta=90.00 gamma=90.00
Space group Imma (No. 74)
Inequivalent atoms, fractional coordinates:
Li1 0.000 0.000 0.000
Li2 0.250 0.250 0.250
Pr1 0.000 0.000 0.500
Ge1 0.250 0.250 0.750
S1 0.000 0.019 0.760
S2 0.235 0.250 0.993